[1]
Na2ZnIn2: single point on PBEsol structure, meta-GGA SCAN.

Properties
Mass density ... 4.4 g/cm3
Excess energy over the best structure of this formula in the dataset ... 0.00 eV per formula unit
Formation energy ... -0.089 eV per atom
D(E_F) ... 0.58 states/eV/atom
Calculated volume ... 25.525 Å³ per atom

Cell and atoms, written as POSCAR:
```
Na2ZnIn2
1.0
7.024 0.000 0.000
0.000 7.024 0.000
0.000 0.000 5.173
Na Zn In
4 2 4
Direct
0.169 0.331 0.000
0.331 0.831 0.000
0.669 0.169 0.000
0.831 0.669 0.000
0.000 0.000 0.500
0.500 0.500 0.500
0.145 0.645 0.500
0.355 0.145 0.500
0.645 0.855 0.500
0.855 0.355 0.500
```

---

[2]
AgSb2Br2: single point on PBEsol structure, meta-GGA SCAN.

Properties
Mass density ... 6.0 g/cm3
D(E_F) ... 0.26 states/eV/atom
Calculated volume ... 28.184 Å³ per atom
Uncorrected formation energy ... -4.19 kcal/mol of atoms

Cell and atoms, written as POSCAR:
```
AgSb2Br2
1.0
7.147 0.000 0.000
0.000 7.147 0.000
0.000 0.000 5.518
Ag Sb Br
2 4 4
Direct
0.000 0.000 0.000
0.500 0.500 0.000
0.146 0.354 0.000
0.354 0.854 0.000
0.646 0.146 0.000
0.854 0.646 0.000
0.182 0.318 0.500
0.318 0.818 0.500
0.682 0.182 0.500
0.818 0.682 0.500
```

---

[3]
AsRu2Pb: single point on PBEsol structure, meta-GGA SCAN.

Properties
Mass density ... 11.8 g/cm3
Excess energy over the best structure of this formula in the dataset ... 0.00 eV per formula unit
Formation energy ... 0.174 eV per atom
D(E_F) ... 0.50 states/eV/atom
Calculated volume ... 17.088 Å³ per atom

Cell and atoms, written as POSCAR:
```
AsRu2Pb
1.0
3.141 0.000 0.000
0.000 3.734 0.000
0.000 0.000 11.656
As Ru Pb
2 4 2
Direct
0.000 0.000 0.000
0.500 0.500 0.500
0.000 0.000 0.559
0.000 0.500 0.345
0.500 0.000 0.845
0.500 0.500 0.059
0.000 0.500 0.740
0.500 0.000 0.240
```